Run A
Li2OsRh | PBE-GGA | relaxed

Cell lengths 2.6472, 4.3160, 4.8278 Å; angles 90.00, 90.14, 90.00 degrees
With the nearest neighbours (Å) after each atom.
Atoms (fractional coordinates):
1 Li 0.0000 0.0000 0.0000  6 Li 2.63-2.65, 4 Rh 2.74-2.77, 2 Os 2.76
2 Li 0.4970 0.5000 0.8524  6 Li 2.63-2.65, 4 Os 2.73-2.77, 2 Rh 2.76
3 Os 0.9986 0.5000 0.3571  4 Rh 2.62, 2 Os 2.65, 6 Li 2.73-2.77
4 Rh 0.5000 0.0000 0.4972  4 Os 2.62, 2 Rh 2.65, 6 Li 2.74-2.77

Values from the calculation:
For the total magnetic moment, the calculation gives 0.00 μB/f.u.

***

Run B
Li2OsRh | PBE-GGA | relaxed

Cell lengths 2.5435, 2.5435, 8.5506 Å; angles 90.00, 90.00, 90.00 degrees
With the nearest neighbours (Å) after each atom.
Atoms (fractional coordinates):
1 Li 0.0000 0.0000 0.2442  4 Li 2.54, 4 Rh 2.76, 4 Os 2.83
2 Li 0.0000 0.0000 0.7558  4 Li 2.54, 4 Rh 2.76, 4 Os 2.83
3 Os 0.5000 0.5000 0.5000  4 Os 2.54, 8 Li 2.83
4 Rh 0.5000 0.5000 0.0000  4 Rh 2.54, 8 Li 2.76

Values from the calculation:
For the total magnetic moment, the calculation gives 0.00 μB/f.u.

***

Run C
Li2OsRh | PBE-GGA | relaxed

Cell lengths 5.3241, 5.3241, 5.3241 Å; angles 102.30, 102.30, 125.03 degrees
With the nearest neighbours (Å) after each atom.
Atoms (fractional coordinates):
1 Li 0.1166 0.6250 0.9916  2 Rh 2.40, 2 Li 2.46, 2 Os 2.48
2 Li 0.3750 0.3666 0.4916  2 Rh 2.40, 2 Li 2.46, 2 Os 2.48
3 Li 0.6334 0.1250 0.0084  2 Rh 2.40, 2 Li 2.46, 2 Os 2.48
4 Li 0.8750 0.8834 0.5084  2 Rh 2.40, 2 Li 2.46, 2 Os 2.48
5 Os 0.2500 0.7500 0.5000  2 Rh 2.46, 4 Li 2.48
6 Os 0.5000 0.5000 0.0000  2 Rh 2.46, 4 Li 2.48
7 Rh 0.0000 0.0000 0.0000  4 Li 2.40, 2 Os 2.46
8 Rh 0.7500 0.2500 0.5000  4 Li 2.40, 2 Os 2.46

Values from the calculation:
For the total magnetic moment, the calculation gives 0.00 μB/f.u.

***

Run D
Li2OsRh | PBE-GGA | relaxed

Cell lengths 4.6056, 4.6056, 4.8240 Å; angles 96.51, 96.51, 33.42 degrees
With the nearest neighbours (Å) after each atom.
Atoms (fractional coordinates):
1 Li 0.0000 0.0000 0.0000  3 Li 2.40-2.65
2 Li 0.2400 0.2400 0.8128  3 Li 2.40-2.65
3 Os 0.4886 0.4886 0.4871  3 Rh 2.46-2.57, 2 Os 2.65, 2 Li 2.71
4 Rh 0.7440 0.7440 0.3294  3 Os 2.46-2.57, 2 Rh 2.65, 2 Li 2.69

Values from the calculation:
For the total magnetic moment, the calculation gives 0.00 μB/f.u.

***

Energy relative to the most stable one, in kJ/mol of atoms: run A 0.0; run B 16.3; run C 63.6; run D 2.6